# 1
Na2ZnHg: optimized geometry, PBE.

Lattice parameters (Å, degrees): 8.377 8.377 6.639 50.88 50.88 90.00
Element x y z (fractional)
Na: 0.375 0.383 0.750
Zn: 0.250 0.750 0.500
Zn: 0.500 0.500 0.000
Na: 0.617 0.125 0.250
Na: 0.875 0.867 0.750
Hg: 0.750 0.250 0.500
Na: 0.133 0.625 0.250
Hg: 0.000 0.000 0.000

total energy = -8.2 eV/cell
crystal system = tetragonal
N(E_F) = 2.97 states/eV/cell
symmetry = I-42d, No. 122
total moment = 0.00 Bohr magnetons per cell


# 2
SrLaGa: optimized geometry, PBE.

Lattice parameters (Å, degrees): 5.346 5.346 5.346 60.00 60.00 60.00
Element x y z (fractional)
La: 0.500 0.500 0.500
Ga: 0.250 0.250 0.250
Sr: 0.000 0.000 0.000

total energy = -10.2 eV/cell
crystal system = cubic
N(E_F) = 2.87 states/eV/cell
polymorph energy (0 for the lowest one) = 16.5 kJ per mole of atoms
symmetry = F-43m, No. 216
total moment = 0.00 Bohr magnetons per cell


# 3
Pm8OsAu2: optimized geometry, PBE.

Lattice parameters (Å, degrees): 5.190 7.013 9.304 102.61 106.19 90.00
Element x y z (fractional)
Pm: 0.659 0.968 0.318
Os: 0.500 0.000 0.000
Au: 0.190 0.730 0.380
Pm: 0.972 0.210 0.944
Pm: 0.587 0.436 0.174
Pm: 0.028 0.790 0.056
Pm: 0.413 0.564 0.826
Au: 0.810 0.270 0.620
Pm: 0.797 0.682 0.595
Pm: 0.203 0.318 0.405
Pm: 0.341 0.032 0.682

total energy = -59.3 eV/cell
crystal system = monoclinic
N(E_F) = 11.99 states/eV/cell
polymorph energy (0 for the lowest one) = 0.0 kJ per mole of atoms
symmetry = C2/m, No. 12
total moment = 0.00 Bohr magnetons per cell


# 4
Tm3SnTe6: optimized geometry, PBE.

Lattice parameters (Å, degrees): 8.930 8.930 8.930 89.46 89.46 89.46
Element x y z (fractional)
Tm: 0.768 0.436 0.922
Te: 0.905 0.679 0.107
Tm: 0.922 0.768 0.436
Sn: 0.000 0.000 0.000
Te: 0.095 0.321 0.893
Te: 0.468 0.586 0.819
Sn: 0.500 0.500 0.500
Te: 0.414 0.181 0.532
Te: 0.181 0.532 0.414
Te: 0.819 0.468 0.586
Te: 0.679 0.107 0.905
Tm: 0.078 0.232 0.564
Tm: 0.232 0.564 0.078
Tm: 0.436 0.922 0.768
Te: 0.107 0.905 0.679
Te: 0.532 0.414 0.181
Te: 0.586 0.819 0.468
Te: 0.321 0.893 0.095
Te: 0.893 0.095 0.321
Tm: 0.564 0.078 0.232

total energy = -92.2 eV/cell
E_form (uncorrected) = -0.984 eV/atom
crystal system = trigonal
N(E_F) = 3.89 states/eV/cell
symmetry = R-3, No. 148
total moment = 0.00 Bohr magnetons per cell


# 5
LiSn4Rh2: optimized geometry, PBE.

Lattice parameters (Å, degrees): 4.607 4.607 7.912 73.07 73.07 60.00
Element x y z (fractional)
Sn: 0.129 0.129 0.614
Sn: 0.379 0.379 0.862
Rh: 0.748 0.748 0.757
Sn: 0.871 0.871 0.386
Sn: 0.621 0.621 0.138
Rh: 0.252 0.252 0.243
Li: 0.000 0.000 0.000

total energy = -35.6 eV/cell
crystal system = trigonal
N(E_F) = 1.38 states/eV/cell
polymorph energy (0 for the lowest one) = 0.0 kJ per mole of atoms
symmetry = R-3m, No. 166
total moment = 0.00 Bohr magnetons per cell


# 6
KH2N: optimized geometry, PBE.

Lattice parameters (Å, degrees): 2.941 2.941 4.877 72.45 72.45 60.00
Element x y z (fractional)
H: 0.179 0.179 0.462
N: 0.500 0.500 0.500
H: 0.821 0.821 0.538
K: 0.000 0.000 0.000

total energy = -12.5 eV/cell
crystal system = trigonal
N(E_F) = 0.76 states/eV/cell
polymorph energy (0 for the lowest one) = 123.4 kJ per mole of atoms
symmetry = R-3m, No. 166
total moment = 0.00 Bohr magnetons per cell